Entry 1:
This record from the Alexandria database describes a relaxed structure of VNi4Pt7. The functional is PBE.

Calculated values
crystal system: monoclinic
DFT total energy: -6.05 eV/atom
E_form: 166 meV/atom
SG: No. 12

a = 5.7631 Å, b = 5.7631 Å, c = 8.9520 Å
α = 118.79°, β = 118.79°, γ = 46.94°
Fractional coordinates of all 12 atoms:
V 0.0000 0.0000 0.0000
Ni 0.2837 0.2837 0.6765
Ni 0.4322 0.4322 0.2281
Ni 0.5678 0.5678 0.7719
Ni 0.7163 0.7163 0.3235
Pt 0.0717 0.0717 0.3446
Pt 0.2095 0.2095 0.9109
Pt 0.3575 0.3575 0.4457
Pt 0.5000 0.5000 0.0000
Pt 0.6425 0.6425 0.5543
Pt 0.7905 0.7905 0.0891
Pt 0.9283 0.9283 0.6554

=====

Entry 2:
This record from the Alexandria database describes a relaxed structure of V3NiPt4. The functional is PBE.

Calculated values
crystal system: orthorhombic
DFT total energy: -7.64 eV/atom
E_form: -475 meV/atom
SG: No. 47

a = 3.8284 Å, b = 3.8500 Å, c = 7.6540 Å
α = 90.00°, β = 90.00°, γ = 90.00°
Fractional coordinates of all 8 atoms:
V 0.0000 0.0000 0.0000
V 0.5000 0.0000 0.2465
V 0.5000 0.0000 0.7535
Ni 0.0000 0.0000 0.5000
Pt 0.0000 0.5000 0.2504
Pt 0.0000 0.5000 0.7496
Pt 0.5000 0.5000 0.0000
Pt 0.5000 0.5000 0.5000

=====

Entry 3:
This record from the Alexandria database describes a relaxed structure of V2Ni2Pt3. The functional is PBE.

Calculated values
crystal system: orthorhombic
DFT total energy: -7.03 eV/atom
E_form: -181 meV/atom
SG: No. 65

a = 2.6652 Å, b = 27.9984 Å, c = 2.6804 Å
α = 90.00°, β = 90.00°, γ = 90.00°
Fractional coordinates of all 14 atoms:
V 0.0000 0.1385 0.0000
V 0.0000 0.8615 0.0000
V 0.5000 0.3615 0.0000
V 0.5000 0.6385 0.0000
Ni 0.0000 0.4209 0.5000
Ni 0.0000 0.5791 0.5000
Ni 0.5000 0.0791 0.5000
Ni 0.5000 0.9209 0.5000
Pt 0.0000 0.0000 0.5000
Pt 0.0000 0.2938 0.5000
Pt 0.0000 0.7062 0.5000
Pt 0.5000 0.2062 0.5000
Pt 0.5000 0.5000 0.5000
Pt 0.5000 0.7938 0.5000

=====

Entry 4:
This record from the Alexandria database describes a relaxed structure of V2Ni8Pt. The functional is PBE.

Calculated values
crystal system: monoclinic
DFT total energy: -6.42 eV/atom
energy above the lowest structure with this stoichiometry: 0.195 eV per atom
E_form: -6 meV/atom
SG: No. 12

a = 7.0444 Å, b = 7.0444 Å, c = 4.3263 Å
α = 107.87°, β = 107.87°, γ = 124.73°
Fractional coordinates of all 11 atoms:
V 0.1824 0.8176 0.0000
V 0.8176 0.1824 0.0000
Ni 0.0020 0.0020 0.2492
Ni 0.1292 0.3977 0.7650
Ni 0.2973 0.7027 0.5000
Ni 0.3977 0.1292 0.7650
Ni 0.6023 0.8708 0.2350
Ni 0.7027 0.2973 0.5000
Ni 0.8708 0.6023 0.2350
Ni 0.9980 0.9980 0.7508
Pt 0.5000 0.5000 0.5000

=====

Number 1: DOS at the Fermi energy 19.8 states/eV per cell. Number 2: DOS at the Fermi energy 7.1 states/eV per cell. Number 3: DOS at the Fermi energy 14.5 states/eV per cell. Number 4: DOS at the Fermi energy 10.4 states/eV per cell.